[1]
VASP calculation (GGA-PBE) on crystalline BeTlFe2 at its relaxed geometry.

Lattice parameters (Å, degrees): 3.0089 3.0089 6.2752 90.00 90.00 90.00
Space group P4mm (No. 99)
Unique sites:
Be: 0.0000 0.0000 0.0000 x1
Tl: 0.5000 0.5000 0.6812 x1
Fe: 0.0000 0.0000 0.3600 x1
Fe: 0.5000 0.5000 0.1606 x1

Output
Energy of formation from the pure elements = 347.1 meV per atom
DFT total energy = -5.41 eV/atom
Total magnetic moment = 1.165 μB/atom

=====

[2]
VASP calculation (GGA-PBE) on crystalline YBeTlFe2 at its relaxed geometry.

Lattice parameters (Å, degrees): 4.8120 4.8120 5.8010 90.00 90.00 90.00
Space group P4/mmm (No. 123)
Unique sites:
Y: 0.0000 0.0000 0.0000 x1
Be: 0.5000 0.5000 0.5000 x1
Tl: 0.0000 0.0000 0.5000 x1
Fe: 0.0000 0.5000 0.0000 x2

Output
Energy of formation from the pure elements = 1866.6 meV per atom
DFT total energy = -4.03 eV/atom
Total magnetic moment = 0.876 μB/atom

=====

[3]
VASP calculation (GGA-PBE) on crystalline ZrBe2TlFe at its relaxed geometry.

Lattice parameters (Å, degrees): 4.6766 4.6766 5.4919 90.00 90.00 90.00
Space group P4/mmm (No. 123)
Unique sites:
Zr: 0.0000 0.0000 0.0000 x1
Be: 0.0000 0.5000 0.0000 x2
Tl: 0.0000 0.0000 0.5000 x1
Fe: 0.5000 0.5000 0.5000 x1

Output
Energy of formation from the pure elements = 1782.0 meV per atom
DFT total energy = -3.58 eV/atom
Total magnetic moment = 0.589 μB/atom

=====

[4]
VASP calculation (GGA-PBE) on crystalline TmBeFe2 at its relaxed geometry.

Lattice parameters (Å, degrees): 4.9452 6.0247 3.9310 90.00 90.00 90.00
Space group Cmmm (No. 65)
Unique sites:
Tm: 0.0000 0.0000 0.0000 x2
Be: 0.0000 0.5000 0.0000 x2
Fe: 0.0000 0.3245 0.5000 x4

Output
Energy of formation from the pure elements = 284.7 meV per atom
DFT total energy = -6.00 eV/atom
Total magnetic moment = 0.605 μB/atom

=====

[5]
VASP calculation (GGA-PBE) on crystalline TmBe5Fe7 at its relaxed geometry.

Lattice parameters (Å, degrees): 4.5055 7.8902 7.9871 90.00 90.00 90.00
Space group Imm2 (No. 44)
Unique sites:
Tm: 0.0000 0.0000 0.0000 x2
Be: 0.0000 0.5000 0.2703 x2
Be: 0.2501 0.2466 0.7533 x8
Fe: 0.0000 0.0000 0.3584 x2
Fe: 0.0000 0.0000 0.6407 x2
Fe: 0.0000 0.2819 0.5035 x4
Fe: 0.0000 0.3563 0.0014 x4
Fe: 0.0000 0.5000 0.7251 x2

Output
Energy of formation from the pure elements = -151.3 meV per atom
DFT total energy = -6.49 eV/atom
Total magnetic moment = 1.008 μB/atom

=====

[6]
VASP calculation (GGA-PBE) on crystalline TmBeFe at its relaxed geometry.

Lattice parameters (Å, degrees): 4.0611 4.0611 5.6860 90.00 90.00 90.00
Space group P4/nmm (No. 129, origin choice 2)
Unique sites:
Tm: 0.2500 0.2500 0.1800 x2
Be: 0.2500 0.2500 0.6514 x2
Fe: 0.2500 0.7500 0.5000 x2

Output
Energy of formation from the pure elements = -93.7 meV per atom
DFT total energy = -5.65 eV/atom
Total magnetic moment = 0.098 μB/atom
Energy above the most stable polymorph in this dataset = 0 meV/atom

=====

Look up the energy of formation from the pure elements of the second one. 1866.6 meV per atom